Entry 1:
The following is a DFT calculation (PBE) of an optimized crystal structure of Rb2Zr2Ti.

Summary:
* polymorph energy (0 for the lowest one): 396 meV per atom
* energy of formation from the pure elements: 1.651 eV per atom

Cell and atoms, written as POSCAR:
```
Rb2Zr2Ti
1.0
10.712 0.000 0.000
0.000 10.712 0.000
0.000 0.000 3.086
Rb Zr Ti
4 4 2
direct
0.205 0.295 0.000 Rb
0.295 0.795 0.000 Rb
0.705 0.205 0.000 Rb
0.795 0.705 0.000 Rb
0.089 0.589 0.500 Zr
0.411 0.089 0.500 Zr
0.589 0.911 0.500 Zr
0.911 0.411 0.500 Zr
0.000 0.000 0.500 Ti
0.500 0.500 0.500 Ti
```


Entry 2:
The following is a DFT calculation (PBE) of an optimized crystal structure of RbNaB3.

Summary:
* polymorph energy (0 for the lowest one): 0 meV per atom
* energy of formation from the pure elements: 2.479 eV per atom

Cell and atoms, written as POSCAR:
```
RbNaB3
1.0
4.901 0.000 0.000
0.000 4.901 0.000
0.000 0.000 4.901
Rb Na B
1 1 3
direct
0.000 0.000 0.000 Rb
0.500 0.500 0.500 Na
0.000 0.500 0.500 B
0.500 0.000 0.500 B
0.500 0.500 0.000 B
```


Entry 3:
The following is a DFT calculation (PBE) of an optimized crystal structure of SmHgH4Pd6.

Cell and atoms, written as POSCAR:
```
SmHgH4Pd6
1.0
5.607 0.000 0.000
-2.804 4.856 0.000
0.000 0.000 6.003
Sm Hg H Pd
1 1 4 6
direct
0.000 0.000 0.000 Sm
0.000 0.000 0.500 Hg
0.333 0.667 0.156 H
0.333 0.667 0.844 H
0.667 0.333 0.156 H
0.667 0.333 0.844 H
0.000 0.500 0.265 Pd
0.000 0.500 0.735 Pd
0.500 0.000 0.265 Pd
0.500 0.000 0.735 Pd
0.500 0.500 0.265 Pd
0.500 0.500 0.735 Pd
```


Entry 4:
The following is a DFT calculation (PBE) of an optimized crystal structure of YCdP2.

Summary:
* energy of formation from the pure elements: 0.000 eV per atom

Cell and atoms, written as POSCAR:
```
YCdP2
1.0
0.000 3.443 3.443
3.443 0.000 3.443
3.443 3.443 0.000
Y Cd P
1 1 2
direct
0.000 0.000 0.000 Y
0.250 0.250 0.250 Cd
0.500 0.500 0.500 P
0.750 0.750 0.750 P
```


Entry 5:
The following is a DFT calculation (PBE) of an optimized crystal structure of AgHgPt2.

Summary:
* energy of formation from the pure elements: 0.078 eV per atom

Cell and atoms, written as POSCAR:
```
AgHgPt2
1.0
-1.454 2.447 4.965
1.454 -2.447 4.965
1.454 2.447 -4.965
Ag Hg Pt
1 1 2
direct
0.000 0.000 0.000 Ag
0.266 0.766 0.500 Hg
0.515 0.515 0.000 Pt
0.748 0.248 0.500 Pt
```


Entry 6:
The following is a DFT calculation (PBE) of an optimized crystal structure of CsSnF3.

Summary:
* formation energy (no corrections): -2.297 eV per atom

Cell and atoms, written as POSCAR:
```
CsSnF3
1.0
3.924 0.000 0.000
0.000 3.924 0.000
0.000 0.000 7.183
Cs Sn F
1 1 3
direct
0.000 0.000 0.000 Cs
0.500 0.500 0.470 Sn
0.000 0.000 0.617 F
0.000 0.500 0.292 F
0.500 0.000 0.292 F
```


Entry 7:
The following is a DFT calculation (PBE) of an optimized crystal structure of ZnTcMo2Se.

Summary:
* formation energy (no corrections): 1.422 eV per atom

Cell and atoms, written as POSCAR:
```
ZnTcMo2Se
1.0
4.609 0.000 0.000
0.000 4.609 0.000
0.000 0.000 4.531
Zn Tc Mo Se
1 1 2 1
direct
0.000 0.000 0.000 Zn
0.500 0.500 0.000 Tc
0.000 0.500 0.500 Mo
0.500 0.000 0.500 Mo
0.000 0.000 0.500 Se
```


Entry 8:
The following is a DFT calculation (PBE) of an optimized crystal structure of PrNpTe2S.

Summary:
* formation energy (no corrections): -1.127 eV per atom

Cell and atoms, written as POSCAR:
```
PrNpTe2S
1.0
4.496 0.000 0.000
0.000 4.496 0.000
0.000 0.000 15.648
Pr Np Te S
2 2 4 2
direct
0.250 0.250 0.106 Pr
0.750 0.750 0.894 Pr
0.250 0.250 0.605 Np
0.750 0.750 0.395 Np
0.250 0.250 0.402 Te
0.250 0.250 0.795 Te
0.750 0.750 0.205 Te
0.750 0.750 0.598 Te
0.250 0.750 0.000 S
0.750 0.250 0.000 S
```


Entry 9:
The following is a DFT calculation (PBE) of an optimized crystal structure of Ag3MoBr6Cl2.

Summary:
* formation energy (no corrections): -0.414 eV per atom

Cell and atoms, written as POSCAR:
```
Ag3MoBr6Cl2
1.0
7.581 -3.756 0.000
7.581 3.756 0.000
-1.043 0.000 6.035
Ag Mo Br Cl
3 1 6 2
direct
0.000 0.000 0.000 Ag
0.000 0.500 0.500 Ag
0.500 0.000 0.500 Ag
0.500 0.500 0.500 Mo
0.179 0.658 0.250 Br
0.342 0.821 0.750 Br
0.376 0.376 0.726 Br
0.624 0.624 0.274 Br
0.658 0.179 0.250 Br
0.821 0.342 0.750 Br
0.174 0.174 0.273 Cl
0.826 0.826 0.727 Cl
```


Entry 10:
The following is a DFT calculation (PBE) of an optimized crystal structure of AgMo2Au.

Summary:
* polymorph energy (0 for the lowest one): 576 meV per atom
* energy of formation from the pure elements: 0.781 eV per atom

Cell and atoms, written as POSCAR:
```
AgMo2Au
1.0
0.000 3.231 3.231
3.231 0.000 3.231
3.231 3.231 0.000
Ag Mo Au
1 2 1
direct
0.000 0.000 0.000 Ag
0.250 0.250 0.250 Mo
0.750 0.750 0.750 Mo
0.500 0.500 0.500 Au
```


Entry 11:
The following is a DFT calculation (PBE) of an optimized crystal structure of SmMgZn2Pt2.

Summary:
* energy of formation from the pure elements: -0.787 eV per atom

Cell and atoms, written as POSCAR:
```
SmMgZn2Pt2
1.0
4.426 0.000 0.000
-2.213 3.833 0.000
0.000 0.000 6.641
Sm Mg Zn Pt
1 1 2 2
direct
0.000 0.000 0.000 Sm
0.000 0.000 0.500 Mg
0.333 0.667 0.302 Zn
0.667 0.333 0.698 Zn
0.333 0.667 0.718 Pt
0.667 0.333 0.282 Pt
```


Entry 12:
The following is a DFT calculation (PBE) of an optimized crystal structure of SrSbPt.

Summary:
* formation energy (no corrections): -0.412 eV per atom

Cell and atoms, written as POSCAR:
```
SrSbPt
1.0
-1.961 2.271 4.651
1.961 -2.271 4.651
1.961 2.271 -4.651
Sr Sb Pt
1 1 1
direct
0.000 0.000 0.000 Sr
0.664 0.664 0.000 Sb
0.383 0.383 0.000 Pt
```


Entry 13:
The following is a DFT calculation (PBE) of an optimized crystal structure of HSe2IBr.

Summary:
* polymorph energy (0 for the lowest one): 0 meV per atom

Cell and atoms, written as POSCAR:
```
HSe2IBr
1.0
4.111 0.000 0.000
0.000 4.111 0.000
0.000 0.000 8.423
H Se I Br
1 2 1 1
direct
0.000 0.000 0.000 H
0.000 0.500 0.000 Se
0.500 0.000 0.000 Se
0.500 0.500 0.500 I
0.000 0.000 0.500 Br
```


Entry 14:
The following is a DFT calculation (PBE) of an optimized crystal structure of SrBr2O6.

Summary:
* formation energy (no corrections): -0.673 eV per atom
* polymorph energy (0 for the lowest one): 0 meV per atom

Cell and atoms, written as POSCAR:
```
SrBr2O6
1.0
5.967 -4.091 0.000
5.967 4.091 0.000
-4.952 0.000 6.374
Sr Br O
2 4 12
direct
0.160 0.840 0.750 Sr
0.840 0.160 0.250 Sr
0.296 0.319 0.304 Br
0.319 0.296 0.804 Br
0.681 0.704 0.196 Br
0.704 0.681 0.696 Br
0.089 0.179 0.644 O
0.179 0.089 0.144 O
0.205 0.420 0.496 O
0.237 0.562 0.917 O
0.420 0.205 0.996 O
0.438 0.763 0.583 O
0.562 0.237 0.417 O
0.580 0.795 0.004 O
0.763 0.438 0.083 O
0.795 0.580 0.504 O
0.821 0.911 0.856 O
0.911 0.821 0.356 O
```


no.,DFT total energy (eV for the cell shown)
1,-37.3
2,-9.9
3,-52.6
4,-18.2
5,-14.9
6,-22.0
7,-29.7
8,-67.5
9,-38.1
10,-24.7
11,-25.7
12,-13.1
13,-11.3
14,-81.7